# 1
{"formula": "KRb2CuCl5", "functional": "PBE", "state": "optimized geometry", "cell": [[2.177, -9.816, 0.000], [2.177, 9.816, 0.000], [0.000, 0.000, 14.287]], "species": ["K", "K", "Rb", "Rb", "Rb", "Rb", "Cu", "Cu", "Cl", "Cl", "Cl", "Cl", "Cl", "Cl", "Cl", "Cl", "Cl", "Cl"], "fractional_positions": [[0.195, 0.805, 0.500], [0.805, 0.195, 0.000], [0.128, 0.872, 0.134], [0.139, 0.861, 0.799], [0.861, 0.139, 0.299], [0.872, 0.128, 0.634], [0.442, 0.558, 0.834], [0.558, 0.442, 0.334], [0.038, 0.962, 0.392], [0.295, 0.705, 0.150], [0.329, 0.671, 0.840], [0.351, 0.649, 0.471], [0.486, 0.514, 0.215], [0.514, 0.486, 0.715], [0.649, 0.351, 0.971], [0.671, 0.329, 0.340], [0.705, 0.295, 0.650], [0.962, 0.038, 0.892]], "magnetic_moment_mub_per_cell": 2.4}

=====

# 2
{"formula": "Hf4PtN2", "functional": "PBE", "state": "optimized geometry", "cell": [[1.658, -5.533, 0.000], [1.658, 5.533, 0.000], [0.000, 0.000, 11.692]], "species": ["Hf", "Hf", "Hf", "Hf", "Hf", "Hf", "Hf", "Hf", "Pt", "Pt", "N", "N", "N", "N"], "fractional_positions": [[0.000, 0.000, 0.000], [0.000, 0.000, 0.500], [0.265, 0.735, 0.607], [0.265, 0.735, 0.893], [0.421, 0.579, 0.250], [0.579, 0.421, 0.750], [0.735, 0.265, 0.107], [0.735, 0.265, 0.393], [0.111, 0.889, 0.250], [0.889, 0.111, 0.750], [0.367, 0.633, 0.060], [0.367, 0.633, 0.440], [0.633, 0.367, 0.560], [0.633, 0.367, 0.940]], "magnetic_moment_mub_per_cell": 0.0}

=====

| no. | E_form (uncorrected) (meV per atom) |
| --- | --- |
| 1 | -1432.9 |
| 2 | -1387.1 |